1.
# Nd4PaS5 (PBE, relaxed)
data_Nd4PaS5
_cell_length_a 4.000
_cell_length_b 5.695
_cell_length_c 20.318
_cell_angle_alpha 90.00
_cell_angle_beta 90.00
_cell_angle_gamma 90.00
_symmetry_space_group_name_H-M 'I m m m'
_symmetry_Int_Tables_number 71
_symmetry_space_group_name_Hall '-I 2 2'
loop_
_atom_site_label
_atom_site_type_symbol
_atom_site_fract_x
_atom_site_fract_y
_atom_site_fract_z
_atom_site_occupancy
Nd1 Nd 0.000 0.000 0.099 1
Nd2 Nd 0.000 0.000 0.306 1
Pa1 Pa 0.000 0.000 0.500 1
S1 S 0.000 0.500 0.095 1
S2 S 0.000 0.500 0.297 1
S3 S 0.000 0.500 0.500 1
# Raw total energy, eV/atom: -6.850
# DOS at the Fermi energy, states/eV per atom: 0.6340
# Formation energy from raw total energies, kJ per mole of atoms: -186.2

2.
# Nd2Pa3S8 (PBE, relaxed)
data_Nd2Pa3S8
_cell_length_a 14.260
_cell_length_b 8.005
_cell_length_c 6.617
_cell_angle_alpha 90.00
_cell_angle_beta 108.75
_cell_angle_gamma 90.00
_symmetry_space_group_name_H-M 'C 1 2/m 1'
_symmetry_Int_Tables_number 12
loop_
_symmetry_equiv_pos_as_xyz
'x,y,z'
'-x,-y,-z'
'-x,y,-z'
'x,-y,z'
'x+1/2,y+1/2,z'
'-x+1/2,-y+1/2,-z'
'-x+1/2,y+1/2,-z'
'x+1/2,-y+1/2,z'
loop_
_atom_site_label
_atom_site_type_symbol
_atom_site_fract_x
_atom_site_fract_y
_atom_site_fract_z
_atom_site_occupancy
Nd1 Nd 0.238 0.000 0.164 1
Pa1 Pa 0.000 0.251 0.500 1
Pa2 Pa 0.000 0.500 0.000 1
S1 S 0.110 0.000 0.418 1
S2 S 0.120 0.500 0.422 1
S3 S 0.124 0.268 0.916 1
# Raw total energy, eV/atom: -7.153
# DOS at the Fermi energy, states/eV per atom: 0.9363
# Formation energy from raw total energies, kJ per mole of atoms: -162.8

3.
# Nd3PaS7 (PBE, relaxed)
data_Nd3PaS7
_cell_length_a 9.222
_cell_length_b 13.301
_cell_length_c 9.577
_cell_angle_alpha 90.00
_cell_angle_beta 90.00
_cell_angle_gamma 90.00
_symmetry_space_group_name_H-M 'C 2 2 21'
_symmetry_Int_Tables_number 20
loop_
_symmetry_equiv_pos_as_xyz
'x,y,z'
'-x,-y,z+1/2'
'x,-y,-z'
'-x,y,-z+1/2'
'x+1/2,y+1/2,z'
'-x+1/2,-y+1/2,z+1/2'
'x+1/2,-y+1/2,-z'
'-x+1/2,y+1/2,-z+1/2'
loop_
_atom_site_label
_atom_site_type_symbol
_atom_site_fract_x
_atom_site_fract_y
_atom_site_fract_z
_atom_site_occupancy
Nd1 Nd 0.007 0.000 0.000 1
Nd2 Nd 0.228 0.274 0.752 1
Pa1 Pa 0.000 0.500 0.000 1
S1 S 0.000 0.128 0.250 1
S2 S 0.000 0.135 0.750 1
S3 S 0.000 0.418 0.750 1
S4 S 0.212 0.372 0.032 1
S5 S 0.215 0.373 0.471 1
# Raw total energy, eV/atom: -6.647
# Formation energy from raw total energies, kJ per mole of atoms: -179.2

4.
# Nd2PaS5 (PBE, relaxed)
data_Nd2PaS5
_cell_length_a 5.416
_cell_length_b 13.720
_cell_length_c 13.491
_cell_angle_alpha 90.00
_cell_angle_beta 90.00
_cell_angle_gamma 90.00
_symmetry_space_group_name_H-M 'C m c m'
_symmetry_Int_Tables_number 63
_symmetry_space_group_name_Hall '-C 2c 2'
loop_
_atom_site_label
_atom_site_type_symbol
_atom_site_fract_x
_atom_site_fract_y
_atom_site_fract_z
_atom_site_occupancy
Nd1 Nd 0.000 0.144 0.061 1
Pa1 Pa 0.000 0.193 0.750 1
S1 S 0.000 0.048 0.621 1
S2 S 0.000 0.258 0.250 1
S3 S 0.000 0.305 0.581 1
# Raw total energy, eV/atom: -6.792
# DOS at the Fermi energy, states/eV per atom: 0.5313
# Formation energy from raw total energies, kJ per mole of atoms: -176.9

5.
# Nd2Pa2S7 (PBE, relaxed)
data_Nd2Pa2S7
_cell_length_a 4.647
_cell_length_b 4.647
_cell_length_c 13.270
_cell_angle_alpha 90.00
_cell_angle_beta 90.00
_cell_angle_gamma 90.00
_symmetry_space_group_name_H-M 'P -4 m 2'
_symmetry_Int_Tables_number 115
loop_
_symmetry_equiv_pos_as_xyz
'x,y,z'
'y,-x,-z'
'-x,-y,z'
'-y,x,-z'
'-x,y,z'
'-y,-x,-z'
'x,-y,z'
'y,x,-z'
loop_
_atom_site_label
_atom_site_type_symbol
_atom_site_fract_x
_atom_site_fract_y
_atom_site_fract_z
_atom_site_occupancy
Nd1 Nd 0.000 0.500 0.140 1
Pa1 Pa 0.000 0.500 0.622 1
S1 S 0.000 0.000 0.247 1
S2 S 0.000 0.000 0.500 1
S3 S 0.500 0.500 0.000 1
S4 S 0.500 0.500 0.263 1
S5 S 0.500 0.500 0.500 1
# Raw total energy, eV/atom: -6.929
# DOS at the Fermi energy, states/eV per atom: 1.0217
# Formation energy from raw total energies, kJ per mole of atoms: -164.9

6.
# Nd2PaS4 (PBE, relaxed)
data_Nd2PaS4
_cell_length_a 3.888
_cell_length_b 13.507
_cell_length_c 13.142
_cell_angle_alpha 90.00
_cell_angle_beta 90.00
_cell_angle_gamma 90.00
_symmetry_space_group_name_H-M 'C m c m'
_symmetry_Int_Tables_number 63
_symmetry_space_group_name_Hall '-C 2c 2'
loop_
_atom_site_label
_atom_site_type_symbol
_atom_site_fract_x
_atom_site_fract_y
_atom_site_fract_z
_atom_site_occupancy
Nd1 Nd 0.000 0.135 0.070 1
Pa1 Pa 0.000 0.375 0.250 1
S1 S 0.000 0.019 0.250 1
S2 S 0.000 0.222 0.630 1
S3 S 0.000 0.500 0.000 1
# Raw total energy, eV/atom: -6.882
# DOS at the Fermi energy, states/eV per atom: 0.9610
# Formation energy from raw total energies, kJ per mole of atoms: -174.1